## BaLiCd (GGA-PBE)

Data for an optimized crystal structure of BaLiCd.

Values from the calculation:
- Magnetic moment: 0.00 μB/cell
- Energy above the lowest structure with this stoichiometry: 88 meV per atom

a b c (Å): 4.997 5.010 9.121
angles (deg): 89.65 89.94 60.11
Fractional coordinates of all 6 atoms:
Ba1 0.167 0.165 0.173
Ba2 0.833 0.835 0.827
Li1 0.498 0.505 0.630
Li2 0.502 0.495 0.370
Cd1 0.166 0.169 0.564
Cd2 0.834 0.831 0.436